Density functional theory data (GGA-PBE) for a geometry-optimized Sn3As5Pb12 structure.

Output
Fermi-level density of states: 9.86 states/eV/f.u.
ΔE_f: 2.361 eV per formula unit
V: 2797.1 Å³ per cell

a b c (Å): 15.3737 15.3737 15.3737
angles (deg): 109.47 109.47 109.47
Element x y z (fractional)
Sn: 0.7500 0.3750 0.1250
Sn: 0.8750 0.7500 0.1250
Sn: 0.3750 0.7500 0.6250
Sn: 0.2500 0.1250 0.3750
Sn: 0.8750 0.1250 0.2500
Sn: 0.3750 0.6250 0.2500
Sn: 0.6250 0.3750 0.7500
Sn: 0.1250 0.8750 0.7500
Sn: 0.7500 0.8750 0.6250
Sn: 0.6250 0.2500 0.3750
Sn: 0.1250 0.2500 0.8750
Sn: 0.2500 0.6250 0.8750
As: 0.1250 0.3750 0.2500
As: 0.0000 0.5000 0.0000
As: 0.0000 0.0000 0.0000
As: 0.3750 0.2500 0.1250
As: 0.5000 0.0000 0.5000
As: 0.5000 0.5000 0.0000
As: 0.1250 0.7500 0.3750
As: 0.7500 0.1250 0.8750
As: 0.7500 0.6250 0.3750
As: 0.3750 0.1250 0.7500
As: 0.6250 0.8750 0.2500
As: 0.5000 0.5000 0.5000
As: 0.5000 0.0000 0.0000
As: 0.0000 0.0000 0.5000
As: 0.2500 0.3750 0.6250
As: 0.2500 0.8750 0.1250
As: 0.0000 0.5000 0.5000
As: 0.8750 0.2500 0.6250
As: 0.6250 0.7500 0.8750
As: 0.8750 0.6250 0.7500
Pb: 0.7204 0.1375 0.0502
Pb: 0.3298 0.5502 0.4127
Pb: 0.9498 0.3625 0.2796
Pb: 0.5502 0.2204 0.1375
Pb: 0.5829 0.7204 0.6702
Pb: 0.9498 0.5873 0.1702
Pb: 0.3298 0.7796 0.4171
Pb: 0.0873 0.9171 0.1375
Pb: 0.5873 0.9498 0.6702
Pb: 0.7204 0.5829 0.1702
Pb: 0.7796 0.4498 0.3625
Pb: 0.8298 0.9127 0.0502
Pb: 0.1375 0.7204 0.5502
Pb: 0.3625 0.4127 0.0829
Pb: 0.0829 0.9127 0.3625
Pb: 0.4171 0.1375 0.5873
Pb: 0.0829 0.1702 0.2204
Pb: 0.4498 0.6702 0.0873
Pb: 0.8298 0.9171 0.2796
Pb: 0.1375 0.4171 0.0873
Pb: 0.3625 0.9498 0.7796
Pb: 0.5873 0.6375 0.4171
Pb: 0.9127 0.8298 0.5502
Pb: 0.7796 0.3298 0.9171
Pb: 0.4127 0.3625 0.5829
Pb: 0.0873 0.1702 0.4498
Pb: 0.2204 0.6702 0.0829
Pb: 0.1702 0.0829 0.7204
Pb: 0.6375 0.0502 0.2204
Pb: 0.8625 0.5829 0.9127
Pb: 0.5502 0.3298 0.9127
Pb: 0.5829 0.8625 0.4127
Pb: 0.9171 0.8298 0.7796
Pb: 0.9171 0.0873 0.6375
Pb: 0.8625 0.2796 0.4498
Pb: 0.1702 0.0873 0.9498
Pb: 0.6375 0.5873 0.9171
Pb: 0.4127 0.0502 0.3298
Pb: 0.2796 0.4171 0.8298
Pb: 0.2204 0.5502 0.6375
Pb: 0.9127 0.0829 0.8625
Pb: 0.6702 0.2204 0.5829
Pb: 0.4498 0.7796 0.8625
Pb: 0.0502 0.4127 0.8298
Pb: 0.4171 0.2796 0.3298
Pb: 0.0502 0.6375 0.7204
Pb: 0.6702 0.4498 0.5873
Pb: 0.2796 0.8625 0.9498